# 1
Below is a relaxed Tm3AlGe2 crystal, with properties calculated at the PBE level.

POSCAR file:
```
Tm3AlGe2
1.0
-2.993 -2.784 0.776
7.624 -8.428 -0.819
2.128 0.836 11.205
Al Tm Ge
4 12 8
direct
0.250 0.131 0.134
0.750 0.631 0.366
0.750 0.869 0.866
0.250 0.369 0.634
0.250 0.700 0.203
0.250 0.119 0.554
0.750 0.564 0.628
0.250 0.436 0.372
0.750 0.300 0.797
0.250 0.064 0.872
0.750 0.200 0.297
0.750 0.936 0.128
0.250 0.381 0.054
0.250 0.800 0.703
0.750 0.619 0.946
0.750 0.881 0.446
0.750 0.500 0.186
0.750 0.185 0.017
0.250 0.815 0.983
0.250 0.000 0.314
0.750 0.315 0.517
0.750 0.000 0.686
0.250 0.500 0.814
0.250 0.685 0.483
```

Properties
Space-group type: No. 62

# 2
Below is a relaxed LiTlInGe crystal, with properties calculated at the PBE level.

POSCAR file:
```
LiTlInGe
1.0
-4.669 0.299 2.038
-0.631 -0.592 5.030
-1.266 4.003 2.902
Tl In Ge Li
1 1 1 1
direct
0.750 0.750 0.750
0.000 0.000 0.000
0.250 0.250 0.250
0.500 0.500 0.500
```

Properties
Space-group type: No. 216

# 3
Below is a relaxed Ba3Pt crystal, with properties calculated at the PBE level.

POSCAR file:
```
Ba3Pt
1.0
6.338 0.000 0.000
0.000 6.338 0.000
0.000 0.000 6.338
Ba Pt
3 1
direct
0.000 0.500 0.000
0.000 0.000 0.500
0.500 0.000 0.000
0.000 0.000 0.000
```

Properties
Space-group type: No. 221

# 4
Below is a relaxed AlInTc2 crystal, with properties calculated at the PBE level.

POSCAR file:
```
AlInTc2
1.0
8.887 -0.016 -0.009
8.410 2.872 -0.009
8.410 1.389 2.514
In Tc Al
1 2 1
direct
0.750 0.750 0.750
0.505 0.505 0.505
0.995 0.995 0.995
0.250 0.250 0.250
```

Properties
Space-group type: No. 166

# 5
Below is a relaxed AcPmTlSi crystal, with properties calculated at the PBE level.

POSCAR file:
```
AcPmTlSi
1.0
-0.630 4.795 2.588
-5.018 2.104 0.692
-2.248 0.143 5.001
Ac Pm Si Tl
1 1 1 1
direct
0.750 0.750 0.750
0.250 0.250 0.250
0.500 0.500 0.500
0.000 0.000 0.000
```

Properties
Space-group type: No. 216

# 6
Below is a relaxed Sr3Cd2Pb crystal, with properties calculated at the PBE level.

POSCAR file:
```
Sr3Cd2Pb
1.0
-0.306 2.386 -3.202
-5.194 -2.295 -1.214
-1.272 7.287 5.553
Sr Cd Pb
3 2 1
direct
0.500 0.500 0.000
0.500 0.833 0.666
0.500 0.167 0.334
0.000 0.669 0.338
0.000 0.331 0.662
0.000 0.000 0.000
```

Properties
Space-group type: No. 65

# 7
Below is a relaxed Ho2ErMg crystal, with properties calculated at the PBE level.

POSCAR file:
```
Ho2ErMg
1.0
3.544 0.000 0.000
0.000 3.544 0.000
0.000 0.000 9.262
Ho Mg Er
2 1 1
direct
0.000 0.000 0.238
0.000 0.000 0.762
0.500 0.500 0.000
0.500 0.500 0.500
```

Properties
Space-group type: No. 123

# 8
Below is a relaxed RePdI2 crystal, with properties calculated at the PBE level.

POSCAR file:
```
RePdI2
1.0
6.204 0.000 0.000
0.000 6.204 0.000
3.102 3.102 5.876
Pd I Re
2 4 2
direct
0.500 0.500 0.000
0.250 0.750 0.500
0.111 0.625 0.250
0.639 0.125 0.250
0.875 0.889 0.750
0.375 0.361 0.750
0.750 0.250 0.500
0.000 0.000 0.000
```

Properties
Space-group type: No. 122

# 9
Below is a relaxed Li12PaO7 crystal, with properties calculated at the PBE level.

POSCAR file:
```
Li12PaO7
1.0
-2.226 -7.154 1.720
5.067 0.057 -4.657
2.322 3.363 5.538
Li O Pa
12 7 1
direct
0.609 0.798 0.043
0.353 0.407 0.540
0.434 0.043 0.245
0.189 0.755 0.798
0.946 0.133 0.593
0.647 0.593 0.460
0.391 0.202 0.957
0.187 0.540 0.133
0.054 0.867 0.407
0.811 0.245 0.202
0.566 0.957 0.755
0.813 0.460 0.867
0.111 0.762 0.067
0.889 0.238 0.933
0.957 0.067 0.305
0.500 0.000 0.000
0.652 0.695 0.762
0.043 0.933 0.695
0.348 0.305 0.238
0.000 0.000 0.000
```

Properties
Space-group type: No. 148

# 10
Below is a relaxed Pu2InSi crystal, with properties calculated at the PBE level.

POSCAR file:
```
Pu2InSi
1.0
3.380 0.000 0.000
1.690 2.927 0.000
1.690 0.976 9.879
Pu Si In
2 1 1
direct
0.262 0.262 0.214
0.738 0.738 0.786
0.000 0.000 0.000
0.500 0.500 0.500
```

Properties
Space-group type: No. 166

# 11
Below is a relaxed Cs2HgTeAu crystal, with properties calculated at the PBE level.

POSCAR file:
```
Cs2HgTeAu
1.0
6.879 0.000 0.000
0.000 6.879 0.000
0.000 0.000 5.507
Hg Cs Au Te
1 2 1 1
direct
0.500 0.500 0.500
0.000 0.500 0.000
0.500 0.000 0.000
0.000 0.000 0.000
0.000 0.000 0.500
```

Properties
Space-group type: No. 123

# 12
Below is a relaxed Pr5Tl4 crystal, with properties calculated at the PBE level.

POSCAR file:
```
Pr5Tl4
1.0
5.939 0.000 0.000
2.970 7.015 0.000
2.970 0.000 7.015
Pr Tl
5 4
direct
0.871 0.352 0.906
0.500 0.000 0.000
0.223 0.906 0.648
0.129 0.648 0.094
0.777 0.094 0.352
0.841 0.702 0.616
0.543 0.616 0.298
0.457 0.384 0.702
0.159 0.298 0.384
```

Properties
Space-group type: No. 87

Calculated total energy for the records above, in order: -121.7 -11.6 -13.1 -26.6 -17.8 -13.1 -15.4 -34.1 -103.8 -37.0 -10.7 -34.8 eV for the cell shown
Theoretical density for the records above, in order: 8.3 7.0 4.0 8.7 8.6 5.7 7.4 8.0 2.6 10.7 5.0 8.6 g/cm3
Calculated volume for the records above, in order: 542.2 94.0 254.6 64.7 116.7 204.2 116.3 226.2 271.7 97.7 260.6 292.3 Å³ per cell